No. 1
PuAlPt6: optimized geometry, PBE-GGA.

Calculated values
DFT formation energy in eV per formula unit: -5.3
Space-group type: P4/mmm

Lattice parameters (Å, degrees): 4.049 4.049 8.071 90.00 90.00 90.00
Atoms (fractional coordinates):
Pt (0.500, 0.500, 0.000)
Pt (0.500, 0.000, 0.267)
Al (0.000, 0.000, 0.500)
Pt (0.000, 0.500, 0.267)
Pu (0.000, 0.000, 0.000)
Pt (0.500, 0.000, 0.733)
Pt (0.500, 0.500, 0.500)
Pt (0.000, 0.500, 0.733)


No. 2
Pu2Al3Pt12Rh: optimized geometry, PBE-GGA.

Calculated values
DFT formation energy in eV per formula unit: -5.8
Space-group type: R-3m

Lattice parameters (Å, degrees): 7.678 7.678 7.678 64.50 64.50 64.50
Atoms (fractional coordinates):
Pu (0.613, 0.613, 0.613)
Pt (0.856, 0.386, 0.856)
Pt (0.112, 0.627, 0.627)
Pu (0.387, 0.387, 0.387)
Pt (0.386, 0.856, 0.856)
Pt (0.888, 0.373, 0.373)
Pt (0.373, 0.373, 0.888)
Rh (0.000, 0.000, 0.000)
Al (0.000, 0.000, 0.500)
Pt (0.627, 0.627, 0.112)
Al (0.500, 0.000, 0.000)
Pt (0.144, 0.614, 0.144)
Pt (0.373, 0.888, 0.373)
Pt (0.856, 0.856, 0.386)
Pt (0.627, 0.112, 0.627)
Al (0.000, 0.500, 0.000)
Pt (0.614, 0.144, 0.144)
Pt (0.144, 0.144, 0.614)


No. 3
Pu2AlSbPt6: optimized geometry, PBE-GGA.

Calculated values
E_form (uncorrected) in eV/atom: -0.6450
Space-group type: C2/m

Lattice parameters (Å, degrees): 8.881 5.565 5.564 59.99 71.81 90.00
Atoms (fractional coordinates):
Pt (0.735, 0.744, 0.511)
Pu (0.592, 0.197, 0.606)
Pu (0.408, 0.803, 0.394)
Pt (0.265, 0.755, 0.989)
Pt (0.735, 0.744, 0.011)
Pt (0.735, 0.245, 0.011)
Sb (0.000, 0.000, 0.000)
Al (0.500, 0.500, 0.000)
Pt (0.265, 0.256, 0.989)
Pt (0.265, 0.256, 0.489)


No. 4
Pu2AlSiPt6: optimized geometry, PBE-GGA.

Calculated values
E_form (uncorrected) in eV/atom: -0.7753
Space-group type: Pmmn

Lattice parameters (Å, degrees): 5.552 8.206 8.590 90.00 90.00 90.00
Atoms (fractional coordinates):
Pt (0.749, 0.518, 0.000)
Pt (0.500, 0.113, 0.749)
Pt (0.751, 0.482, 0.500)
Pu (0.000, 0.276, 0.756)
Pt (0.000, 0.887, 0.249)
Al (0.000, 0.731, 0.500)
Pt (0.249, 0.995, 0.500)
Pt (0.251, 0.518, 0.000)
Pt (0.000, 0.887, 0.751)
Pu (0.500, 0.724, 0.744)
Pu (0.000, 0.276, 0.244)
Si (0.500, 0.246, 0.500)
Pu (0.500, 0.724, 0.256)
Pt (0.251, 0.005, 0.000)
Si (0.000, 0.754, 0.000)
Al (0.500, 0.269, 0.000)
Pt (0.749, 0.005, 0.000)
Pt (0.751, 0.995, 0.500)
Pt (0.249, 0.482, 0.500)
Pt (0.500, 0.113, 0.251)


No. 5
Pu2AlSi3Pt4: optimized geometry, PBE-GGA.

Calculated values
E_form (uncorrected) in eV/atom: -0.9182
Space-group type: P-4m2

Lattice parameters (Å, degrees): 4.190 4.190 10.174 90.00 90.00 90.00
Atoms (fractional coordinates):
Pu (0.000, 0.500, 0.749)
Pt (0.500, 0.500, 0.000)
Al (0.500, 0.500, 0.500)
Si (0.000, 0.500, 0.132)
Si (0.000, 0.000, 0.500)
Si (0.500, 0.000, 0.868)
Pt (0.500, 0.000, 0.633)
Pt (0.000, 0.500, 0.367)
Pu (0.500, 0.000, 0.251)
Pt (0.000, 0.000, 0.000)


No. 6
Pu2AlSi4Pt3: optimized geometry, PBE-GGA.

Calculated values
E_form (uncorrected) in eV/atom: -0.8155
Space-group type: P-4m2

Lattice parameters (Å, degrees): 4.150 4.150 10.249 90.00 90.00 90.00
Atoms (fractional coordinates):
Pt (0.000, 0.500, 0.122)
Si (0.500, 0.500, 0.000)
Si (0.000, 0.000, 0.000)
Pu (0.500, 0.000, 0.247)
Al (0.500, 0.500, 0.500)
Si (0.000, 0.500, 0.356)
Pt (0.500, 0.000, 0.878)
Pt (0.000, 0.000, 0.500)
Si (0.500, 0.000, 0.644)
Pu (0.000, 0.500, 0.753)


No. 7
Sm2PuAl4Pt3: optimized geometry, PBE-GGA.

Calculated values
DFT formation energy in eV per formula unit: -8.1
Space-group type: P-4m2

Lattice parameters (Å, degrees): 4.261 4.261 11.467 90.00 90.00 90.00
Atoms (fractional coordinates):
Al (0.000, 0.500, 0.330)
Sm (0.000, 0.500, 0.772)
Sm (0.500, 0.000, 0.228)
Pt (0.500, 0.000, 0.880)
Pt (0.000, 0.000, 0.500)
Al (0.500, 0.000, 0.670)
Al (0.000, 0.000, 0.000)
Pu (0.500, 0.500, 0.500)
Al (0.500, 0.500, 0.000)
Pt (0.000, 0.500, 0.120)


No. 8
Pu2AlSnPt6: optimized geometry, PBE-GGA.

Calculated values
DFT formation energy in eV per formula unit: -6.5
Space-group type: R-3m

Lattice parameters (Å, degrees): 5.564 8.920 8.919 36.35 71.84 90.01
Atoms (fractional coordinates):
Pu (0.198, 0.802, 0.605)
Pt (0.744, 0.756, 0.512)
Al (0.500, 0.500, 0.000)
Sn (0.000, 0.000, 0.000)
Pu (0.802, 0.198, 0.395)
Pt (0.756, 0.744, 0.988)
Pt (0.244, 0.256, 0.012)
Pt (0.256, 0.244, 0.488)
Pt (0.744, 0.256, 0.012)
Pt (0.256, 0.744, 0.988)


No. 9
Pu2TiAlPt6: optimized geometry, PBE-GGA.

Calculated values
DFT formation energy in eV per formula unit: -6.3
Space-group type: R-3m

Lattice parameters (Å, degrees): 8.450 5.614 8.448 70.63 38.81 90.03
Atoms (fractional coordinates):
Pt (0.249, 0.750, 0.001)
Pt (0.752, 0.750, 0.498)
Ti (0.500, 0.500, 0.000)
Pt (0.249, 0.247, 0.001)
Pu (0.201, 0.799, 0.403)
Pt (0.751, 0.753, 0.999)
Pt (0.751, 0.250, 0.999)
Pt (0.248, 0.250, 0.502)
Pu (0.799, 0.201, 0.597)
Al (0.000, 0.000, 0.000)


No. 10
PuAl2ZnPt4: optimized geometry, PBE-GGA.

Calculated values
DFT formation energy in eV per formula unit: -6.6
Space-group type: R-3m

Lattice parameters (Å, degrees): 4.272 4.272 9.048 76.34 76.34 60.00
Atoms (fractional coordinates):
Al (0.239, 0.239, 0.282)
Pt (0.133, 0.133, 0.602)
Pt (0.867, 0.867, 0.398)
Zn (0.500, 0.500, 0.500)
Pt (0.599, 0.599, 0.202)
Pt (0.401, 0.401, 0.798)
Al (0.761, 0.761, 0.718)
Pu (0.000, 0.000, 0.000)


No. 11
PuAlZnPt: optimized geometry, PBE-GGA.

Calculated values
DFT formation energy in eV per formula unit: -1.8
Space-group type: F-43m

Lattice parameters (Å, degrees): 4.728 4.728 4.728 60.00 60.00 60.00
Atoms (fractional coordinates):
Al (0.000, 0.000, 0.000)
Pt (0.750, 0.750, 0.750)
Zn (0.250, 0.250, 0.250)
Pu (0.500, 0.500, 0.500)


No. 12
Pu2Al3ZnPt4: optimized geometry, PBE-GGA.

Calculated values
DFT formation energy in eV per formula unit: -8.4
Space-group type: P-4m2

Lattice parameters (Å, degrees): 4.136 4.136 10.952 90.00 90.00 90.00
Atoms (fractional coordinates):
Pt (0.000, 0.500, 0.357)
Al (0.500, 0.000, 0.870)
Al (0.000, 0.000, 0.500)
Zn (0.500, 0.500, 0.500)
Pu (0.500, 0.000, 0.256)
Pt (0.500, 0.500, 0.000)
Pt (0.000, 0.000, 0.000)
Pt (0.500, 0.000, 0.643)
Al (0.000, 0.500, 0.130)
Pu (0.000, 0.500, 0.744)


Short version: electronic total energy = -59.6 -125.5 -79.2 -163.7 -82.0 -80.4 -64.9 -79.1 -82.8 -53.8 -27.2 -73.7 eV/cell, in the order given.
Short version: ρ = 18.1 14.2 13.5 14.5 12.8 11.4 9.9 13.4 13.5 13.8 11.8 12.5 g/cm3, in the order given.